# 1
Computed, not measured: a geometry-optimized La2TaSe structure at the PBEsol level of DFT.

```
La2TaSe
1.0
3.843 0.000 0.000
-1.921 3.328 0.000
0.000 0.000 25.773
La Ta Se
6 3 3
Direct
0.000 0.000 0.245
0.000 0.000 0.755
0.333 0.667 0.421
0.333 0.667 0.912
0.667 0.333 0.088
0.667 0.333 0.579
0.000 0.000 0.000
0.333 0.667 0.667
0.667 0.333 0.333
0.000 0.000 0.500
0.333 0.667 0.167
0.667 0.333 0.833
```

Values from the calculation:
Space group: No. 166
Formation energy (no corrections): -6.228 kcal/mol of atoms

# 2
Computed, not measured: a geometry-optimized LaTc3Se structure at the PBEsol level of DFT.

```
LaTc3Se
1.0
4.601 0.000 0.000
0.000 4.601 0.000
0.000 0.000 4.601
La Tc Se
1 3 1
Direct
0.000 0.000 0.000
0.000 0.500 0.500
0.500 0.000 0.500
0.500 0.500 0.000
0.500 0.500 0.500
```

Values from the calculation:
Space group: No. 221
Formation energy (no corrections): 12.804 kcal/mol of atoms

# 3
Computed, not measured: a geometry-optimized LaTe2Se structure at the PBEsol level of DFT.

```
LaTe2Se
1.0
6.244 0.000 0.000
0.000 7.612 0.000
0.000 0.000 4.564
La Te Se
2 4 2
Direct
0.000 0.000 0.000
0.500 0.500 0.000
0.250 0.250 0.500
0.250 0.750 0.500
0.750 0.250 0.500
0.750 0.750 0.500
0.000 0.500 0.000
0.500 0.000 0.000
```

Values from the calculation:
Space group: No. 65
Formation energy (no corrections): -19.667 kcal/mol of atoms

# 4
Computed, not measured: a geometry-optimized La2TeSe structure at the PBEsol level of DFT.

```
La2TeSe
1.0
4.270 0.000 0.000
-2.135 3.698 0.000
0.000 0.000 22.803
La Te Se
6 3 3
Direct
0.000 0.000 0.000
0.000 0.000 0.186
0.333 0.667 0.667
0.333 0.667 0.853
0.667 0.333 0.333
0.667 0.333 0.520
0.000 0.000 0.426
0.333 0.667 0.093
0.667 0.333 0.759
0.000 0.000 0.594
0.333 0.667 0.261
0.667 0.333 0.928
```

Values from the calculation:
ΔE to the lowest computed polymorph: 0.026 eV per atom
Space group: No. 160
Formation energy (no corrections): -41.278 kcal/mol of atoms

Short version: M_tot = 7.0; 1.1; 0.0; 0.0 μB/cell, in the order given.